DFT (PBE) results for Rh2WSe after structural relaxation.

Summary:
formation energy (no corrections)	-3	kJ per mole of atoms
V	63	Å³/cell
VASP energy	-7.81	eV/atom
magnetic moment	0.00	μB/f.u.

a = 2.846 Å, b = 2.846 Å, c = 7.736 Å
α = 90.00°, β = 90.00°, γ = 90.00°
Space group P4/mmm (No. 123)
Symmetry-distinct sites (fractional):
Rh (0.000, 0.000, 0.236) (multiplicity 2)
W (0.500, 0.500, 0.000) (multiplicity 1)
Se (0.500, 0.500, 0.500) (multiplicity 1)